# Mn2SbO6

A geometry-optimized Mn2SbO6 structure (PBE with a Hubbard U, the Alexandria database).

Results
- final energy (eV/atom) = -6.703
- space-group type = No. 162
- D(E_F) (states/eV per atom) = 0.3208
- theoretical density (Mg/m³) = 5.15

a b c (Å): 4.275 5.344 5.344
angles (deg): 120.00 90.00 90.00
Each line ends with the local moment (μB).
Element x y z (fractional)
1 O 0.723 0.665 0.000  -0.12
2 O 0.723 0.335 0.335  -0.12
3 O 0.723 0.000 0.665  -0.12
4 O 0.277 0.335 0.000  -0.12
5 O 0.277 0.000 0.335  -0.12
6 O 0.277 0.665 0.665  -0.12
7 Sb 0.500 0.000 0.000  0.06
8 Mn 0.500 0.333 0.667  3.77
9 Mn 0.500 0.667 0.333  3.77